# PmTl2V3F12 (PBE+U, optimized geometry)
data_PmTl2V3F12
_space_group_name_H-M_alt 'R -3 m'
_space_group_IT_number 166
_space_group_name_Hall '-R 3 2"'
_cell_length_a 7.7798
_cell_length_b 7.7798
_cell_length_c 17.2817
_cell_angle_alpha 90.00
_cell_angle_beta 90.00
_cell_angle_gamma 120.00
loop_
_atom_site_label
_atom_site_type_symbol
_atom_site_fract_x
_atom_site_fract_y
_atom_site_fract_z
Pm1 Pm 0.0000 0.0000 0.0000
Tl1 Tl 0.0000 0.0000 0.3791
V1 V 0.0000 0.5000 0.5000
F1 F 0.0046 0.5023 0.6193
F2 F 0.0830 0.5415 0.8204
# crystal system	trigonal
# total DFT energy (no corrections)	-5.826	eV/atom